Record 1
The following is a SCAN calculation of a PBEsol-optimized structure of Ag2WBr, from Alexandria.

It has space group Cmmm (No. 65), with a = 3.0861 Å, b = 4.8185 Å, c = 9.5426 Å, α = 90.00°, β = 90.00° and γ = 90.00°. The asymmetric unit holds Ag at (0.0000, 0.0000, 0.2413), W at (0.0000, 0.5000, 0.0000) and Br at (0.0000, 0.5000, 0.5000).

The mass density comes out at 11.22 Mg/m³. The calculation puts the excess energy over the best structure of this formula in the dataset at 0 meV per atom.

---

Record 2
The following is a SCAN calculation of a PBEsol-optimized structure of CdReSb, from Alexandria.

It has space group F-43m (No. 216), with a = 6.3959 Å, b = 6.3959 Å, c = 6.3959 Å, α = 90.00°, β = 90.00° and γ = 90.00°. The asymmetric unit holds Cd at (0.0000, 0.0000, 0.0000), Re at (0.2500, 0.2500, 0.7500) and Sb at (0.2500, 0.2500, 0.2500).

The mass density comes out at 10.67 Mg/m³.

---

Record 3
The following is a SCAN calculation of a PBEsol-optimized structure of Bi, from Alexandria.

It has space group P4/nmm (No. 129, origin choice 2), with a = 4.5327 Å, b = 4.5327 Å, c = 3.2389 Å, α = 90.00°, β = 90.00° and γ = 90.00°. The asymmetric unit holds Bi at (0.2500, 0.2500, 0.0565).

The mass density comes out at 10.43 Mg/m³. For the energy of formation from the pure elements, the calculation gives 0.032 eV/atom. The calculation puts the excess energy over the best structure of this formula in the dataset at 32 meV per atom.

---

Record 4
The following is a SCAN calculation of a PBEsol-optimized structure of K2RuBr, from Alexandria.

It has space group I-4m2 (No. 119), with a = 4.5581 Å, b = 4.5581 Å, c = 11.9455 Å, α = 90.00°, β = 90.00° and γ = 90.00°. The asymmetric unit holds K at (0.0000, 0.0000, 0.0000), K at (0.0000, 0.5000, 0.2500), Ru at (0.0000, 0.0000, 0.5000) and Br at (0.0000, 0.5000, 0.7500).

The mass density comes out at 3.47 Mg/m³. The calculation puts the excess energy over the best structure of this formula in the dataset at 114 meV per atom.

---

Record 5
The following is a SCAN calculation of a PBEsol-optimized structure of TlFeSi2, from Alexandria.

It has space group I4/mmm (No. 139), with a = 3.9398 Å, b = 3.9398 Å, c = 8.2900 Å, α = 90.00°, β = 90.00° and γ = 90.00°. The asymmetric unit holds Tl at (0.0000, 0.0000, 0.0000), Fe at (0.0000, 0.0000, 0.5000) and Si at (0.0000, 0.5000, 0.2500).

The mass density comes out at 8.17 Mg/m³. The calculation puts the excess energy over the best structure of this formula in the dataset at 294 meV per atom.

---

Record 6
The following is a SCAN calculation of a PBEsol-optimized structure of Ca2CoPt, from Alexandria.

It has space group R-3m (No. 166, hexagonal axes), with a = 3.7200 Å, b = 3.7200 Å, c = 22.7690 Å, α = 90.00°, β = 90.00° and γ = 120.00°. The asymmetric unit holds Ca at (0.0000, 0.0000, 0.2465), Co at (0.0000, 0.0000, 0.0000) and Pt at (0.0000, 0.0000, 0.5000).

The mass density comes out at 6.10 Mg/m³. For the energy of formation from the pure elements, the calculation gives -0.028 eV/atom.

---

Record 7
The following is a SCAN calculation of a PBEsol-optimized structure of CuSnF6, from Alexandria.

It has space group R-3 (No. 148, hexagonal axes), with a = 5.1157 Å, b = 5.1157 Å, c = 13.8719 Å, α = 90.00°, β = 90.00° and γ = 120.00°. The asymmetric unit holds Cu at (0.0000, 0.0000, 0.0000), Sn at (0.0000, 0.0000, 0.5000) and F at (0.0005, 0.3687, 0.7504).

The mass density comes out at 4.69 Mg/m³.

---

Record 8
The following is a SCAN calculation of a PBEsol-optimized structure of FeMo2, from Alexandria.

It has space group I4/mmm (No. 139), with a = 2.6459 Å, b = 2.6459 Å, c = 11.5900 Å, α = 90.00°, β = 90.00° and γ = 90.00°. The asymmetric unit holds Fe at (0.0000, 0.0000, 0.0000) and Mo at (0.0000, 0.0000, 0.3483).

The mass density comes out at 10.14 Mg/m³. For the energy of formation from the pure elements, the calculation gives 0.295 eV/atom.

---

Record 9
The following is a SCAN calculation of a PBEsol-optimized structure of Ba2LiHg2, from Alexandria.

It has space group P4/mbm (No. 127), with a = 8.8020 Å, b = 8.8020 Å, c = 4.5179 Å, α = 90.00°, β = 90.00° and γ = 90.00°. The asymmetric unit holds Ba at (0.1637, 0.3363, 0.0000), Li at (0.0000, 0.0000, 0.5000) and Hg at (0.1336, 0.6336, 0.5000).

The mass density comes out at 6.48 Mg/m³. For the energy of formation from the pure elements, the calculation gives -0.490 eV/atom.

---

Record 10
The following is a SCAN calculation of a PBEsol-optimized structure of BeTeOs2, from Alexandria.

It has space group P4/mmm (No. 123), with a = 4.2673 Å, b = 4.2673 Å, c = 3.1265 Å, α = 90.00°, β = 90.00° and γ = 90.00°. The asymmetric unit holds Be at (0.0000, 0.0000, 0.0000), Te at (0.5000, 0.5000, 0.0000) and Os at (0.0000, 0.5000, 0.5000).

The mass density comes out at 15.08 Mg/m³. The calculation puts the excess energy over the best structure of this formula in the dataset at 142 meV per atom.

---

Record 11
The following is a SCAN calculation of a PBEsol-optimized structure of KMg2In, from Alexandria.

It has space group Immm (No. 71), with a = 3.6513 Å, b = 5.7554 Å, c = 11.1668 Å, α = 90.00°, β = 90.00° and γ = 90.00°. The asymmetric unit holds K at (0.0000, 0.0000, 0.0000), Mg at (0.0000, 0.5000, 0.2159) and In at (0.0000, 0.0000, 0.5000).

The mass density comes out at 2.87 Mg/m³. For the energy of formation from the pure elements, the calculation gives 0.072 eV/atom.

---

Record 12
The following is a SCAN calculation of a PBEsol-optimized structure of BaHg2Pt, from Alexandria.

It has space group Amm2 (No. 38), with a = 4.0706 Å, b = 4.5627 Å, c = 11.5939 Å, α = 90.00°, β = 90.00° and γ = 90.00°. The asymmetric unit holds Ba at (0.0000, 0.0000, 0.0000), Hg at (0.0000, 0.0000, 0.7187), Hg at (0.5000, 0.0000, 0.3104) and Pt at (0.5000, 0.0000, 0.5528).

The mass density comes out at 11.31 Mg/m³. For the energy of formation from the pure elements, the calculation gives -0.463 eV/atom.

---

| no. | N(E_F) (states/eV per cell) | total energy (eV/atom) |
| --- | --- | --- |
| 1 | 4.0 | -37.325 |
| 2 | 15.0 | -44.675 |
| 3 | 1.0 | -78.548 |
| 4 | 9.2 | -17.440 |
| 5 | 4.0 | -26.829 |
| 6 | 4.2 | -26.734 |
| 7 | 14.6 | -11.297 |
| 8 | 5.0 | -29.005 |
| 9 | 8.9 | -44.054 |
| 10 | 1.2 | -45.829 |
| 11 | 3.2 | -12.844 |
| 12 | 1.8 | -61.982 |